Below is LaErCuIr after structural relaxation, with properties calculated at the GGA-PBE level.

```
LaErCuIr
1.0
0.000 3.523 3.523
3.523 0.000 3.523
3.523 3.523 0.000
La Er Cu Ir
1 1 1 1
direct
0.000 0.000 0.000
0.500 0.500 0.500
0.750 0.750 0.750
0.250 0.250 0.250
```

ΔE_f	-495	meV per atom

=====

Below is YPuIn after structural relaxation, with properties calculated at the GGA-PBE level.

```
YPuIn
1.0
5.330 -1.748 0.000
5.330 1.748 0.000
-1.644 0.000 8.463
Y Pu In
2 2 2
direct
0.059 0.059 0.203
0.941 0.941 0.797
0.287 0.287 0.080
0.713 0.713 0.920
0.168 0.168 0.596
0.832 0.832 0.404
```

ΔE_f	89	meV per atom

=====

Below is Li2TbEu after structural relaxation, with properties calculated at the GGA-PBE level.

```
Li2TbEu
1.0
0.000 3.859 3.859
3.859 0.000 3.859
3.859 3.859 0.000
Li Tb Eu
2 1 1
direct
0.250 0.250 0.250
0.750 0.750 0.750
0.000 0.000 0.000
0.500 0.500 0.500
```

ΔE_f	160	meV per atom

=====

Below is Sm3Al3Cu2 after structural relaxation, with properties calculated at the GGA-PBE level.

```
Sm3Al3Cu2
1.0
8.248 0.000 0.000
0.000 15.104 0.000
0.000 0.000 5.612
Sm Al Cu
12 12 8
direct
0.043 0.112 0.116
0.043 0.388 0.116
0.190 0.250 0.603
0.310 0.750 0.103
0.457 0.612 0.616
0.457 0.888 0.616
0.543 0.112 0.384
0.543 0.388 0.384
0.690 0.250 0.897
0.810 0.750 0.397
0.957 0.612 0.884
0.957 0.888 0.884
0.160 0.750 0.591
0.187 0.035 0.614
0.187 0.465 0.614
0.313 0.535 0.114
0.313 0.965 0.114
0.340 0.250 0.091
0.660 0.750 0.909
0.687 0.035 0.886
0.687 0.465 0.886
0.813 0.535 0.386
0.813 0.965 0.386
0.840 0.250 0.409
0.098 0.603 0.378
0.098 0.897 0.378
0.402 0.103 0.878
0.402 0.397 0.878
0.598 0.603 0.122
0.598 0.897 0.122
0.902 0.103 0.622
0.902 0.397 0.622
```

ΔE_f	-351	meV per atom

=====

Below is Be3IrRh2 after structural relaxation, with properties calculated at the GGA-PBE level.

```
Be3IrRh2
1.0
2.792 0.000 0.000
0.000 2.792 0.000
0.000 0.000 8.386
Be Ir Rh
3 1 2
direct
0.000 0.000 0.000
0.000 0.000 0.334
0.000 0.000 0.666
0.500 0.500 0.500
0.500 0.500 0.166
0.500 0.500 0.834
```

ΔE_f	-597	meV per atom

=====

Below is ScBe2BOs after structural relaxation, with properties calculated at the GGA-PBE level.

```
ScBe2BOs
1.0
4.181 0.000 0.000
0.000 4.181 0.000
0.000 0.000 4.048
Sc Be B Os
1 2 1 1
direct
0.000 0.000 0.000
0.000 0.500 0.500
0.500 0.000 0.500
0.500 0.500 0.000
0.500 0.500 0.500
```

ΔE_f	63	meV per atom

=====

Below is ErZn9Cu2 after structural relaxation, with properties calculated at the GGA-PBE level.

```
ErZn9Cu2
1.0
-5.237 5.237 3.341
5.237 -5.237 3.341
5.237 5.237 -3.341
Er Zn Cu
2 18 4
direct
0.375 0.625 0.750
0.625 0.375 0.250
0.125 0.875 0.250
0.134 0.559 0.333
0.134 0.801 0.575
0.199 0.273 0.333
0.199 0.866 0.925
0.273 0.199 0.833
0.273 0.441 0.075
0.441 0.273 0.575
0.441 0.866 0.167
0.559 0.134 0.833
0.559 0.727 0.425
0.727 0.559 0.925
0.727 0.801 0.167
0.801 0.134 0.075
0.801 0.727 0.667
0.866 0.199 0.425
0.866 0.441 0.667
0.875 0.125 0.750
0.000 0.000 0.000
0.000 0.000 0.500
0.000 0.500 0.000
0.500 0.000 0.500
```

ΔE_f	-215	meV per atom

=====

Below is DyZnGa after structural relaxation, with properties calculated at the GGA-PBE level.

```
DyZnGa
1.0
-1.675 1.675 5.456
1.675 -1.675 5.456
1.675 1.675 -5.456
Dy Zn Ga
1 1 1
direct
0.000 0.000 0.000
0.683 0.683 0.000
0.313 0.313 0.000
```

ΔE_f	-307	meV per atom

=====

Below is Tb12TlZn6 after structural relaxation, with properties calculated at the GGA-PBE level.

```
Tb12TlZn6
1.0
-5.032 5.032 5.032
5.032 -5.032 5.032
5.032 5.032 -5.032
Tb Tl Zn
12 1 6
direct
0.096 0.289 0.807
0.193 0.482 0.289
0.193 0.904 0.711
0.289 0.193 0.482
0.289 0.807 0.096
0.482 0.289 0.193
0.518 0.711 0.807
0.711 0.193 0.904
0.711 0.807 0.518
0.807 0.096 0.289
0.807 0.518 0.711
0.904 0.711 0.193
0.000 0.000 0.000
0.123 0.500 0.623
0.377 0.877 0.500
0.500 0.377 0.877
0.500 0.623 0.123
0.623 0.123 0.500
0.877 0.500 0.377
```

ΔE_f	-190	meV per atom

=====

Below is Tb8ErAl2 after structural relaxation, with properties calculated at the GGA-PBE level.

```
Tb8ErAl2
1.0
8.249 -2.589 0.000
8.249 2.589 0.000
-3.371 0.000 7.498
Tb Er Al
8 1 2
direct
0.055 0.055 0.233
0.152 0.152 0.720
0.313 0.313 0.549
0.389 0.389 0.030
0.611 0.611 0.970
0.687 0.687 0.451
0.848 0.848 0.280
0.945 0.945 0.767
0.500 0.500 0.500
0.224 0.224 0.142
0.776 0.776 0.858
```

ΔE_f	-103	meV per atom

=====

Below is Y5Tl2Sn after structural relaxation, with properties calculated at the GGA-PBE level.

```
Y5Tl2Sn
1.0
6.966 0.000 0.000
0.000 13.039 0.000
0.000 0.000 5.107
Y Tl Sn
10 4 2
direct
0.000 0.000 0.000
0.150 0.274 0.000
0.168 0.598 0.500
0.332 0.098 0.500
0.350 0.774 0.000
0.500 0.500 0.000
0.650 0.226 0.000
0.668 0.902 0.500
0.832 0.402 0.500
0.850 0.726 0.000
0.103 0.842 0.500
0.397 0.342 0.500
0.603 0.658 0.500
0.897 0.158 0.500
0.000 0.500 0.000
0.500 0.000 0.000
```

ΔE_f	-437	meV per atom

=====

Below is CrCd2GaRu after structural relaxation, with properties calculated at the GGA-PBE level.

```
CrCd2GaRu
1.0
4.845 0.000 0.000
0.000 4.845 0.000
0.000 0.000 4.656
Cr Cd Ga Ru
1 2 1 1
direct
0.000 0.000 0.000
0.000 0.500 0.500
0.500 0.000 0.500
0.000 0.000 0.500
0.500 0.500 0.000
```

ΔE_f	1237	meV per atom

=====

Below is Tb8Al2Cu after structural relaxation, with properties calculated at the GGA-PBE level.

```
Tb8Al2Cu
1.0
9.185 -2.528 0.000
9.185 2.528 0.000
-1.497 0.000 6.473
Tb Al Cu
8 2 1
direct
0.020 0.020 0.275
0.208 0.208 0.800
0.348 0.348 0.529
0.406 0.406 0.039
0.594 0.594 0.961
0.652 0.652 0.471
0.792 0.792 0.200
0.980 0.980 0.725
0.188 0.188 0.249
0.812 0.812 0.751
0.500 0.500 0.500
```

ΔE_f	-155	meV per atom

=====

Below is Sc5Tl4Co2 after structural relaxation, with properties calculated at the GGA-PBE level.

```
Sc5Tl4Co2
1.0
7.626 0.000 0.000
0.000 17.343 0.000
0.000 0.000 3.392
Sc Tl Co
10 8 4
direct
0.000 0.000 0.000
0.120 0.407 0.000
0.246 0.720 0.000
0.254 0.220 0.000
0.380 0.907 0.000
0.500 0.500 0.000
0.620 0.093 0.000
0.746 0.780 0.000
0.754 0.280 0.000
0.880 0.593 0.000
0.072 0.848 0.500
0.199 0.564 0.500
0.301 0.064 0.500
0.428 0.348 0.500
0.572 0.652 0.500
0.699 0.936 0.500
0.801 0.436 0.500
0.928 0.152 0.500
0.034 0.306 0.500
0.466 0.806 0.500
0.534 0.194 0.500
0.966 0.694 0.500
```

ΔE_f	-306	meV per atom

=====

Below is MnBeAu2 after structural relaxation, with properties calculated at the GGA-PBE level.

```
MnBeAu2
1.0
1.501 0.867 7.917
-1.501 0.867 7.917
0.000 -1.733 7.917
Mn Be Au
1 1 2
direct
0.000 0.000 0.000
0.500 0.500 0.500
0.240 0.240 0.240
0.760 0.760 0.760
```

ΔE_f	108	meV per atom

=====

Below is YThCd2 after structural relaxation, with properties calculated at the GGA-PBE level.

```
YThCd2
1.0
0.000 3.807 3.807
3.807 0.000 3.807
3.807 3.807 0.000
Y Th Cd
1 1 2
direct
0.000 0.000 0.000
0.500 0.500 0.500
0.250 0.250 0.250
0.750 0.750 0.750
```

ΔE_f	-179	meV per atom

=====

Below is AlCuP2 after structural relaxation, with properties calculated at the GGA-PBE level.

```
AlCuP2
1.0
5.258 -1.641 0.000
5.258 1.641 0.000
-1.372 0.000 3.726
Al Cu P
1 1 2
direct
0.000 0.000 0.000
0.500 0.500 0.500
0.271 0.271 0.337
0.729 0.729 0.663
```

ΔE_f	4	meV per atom

=====

Below is Li7Hg3Au after structural relaxation, with properties calculated at the GGA-PBE level.

```
Li7Hg3Au
1.0
1.569 -11.176 0.000
1.569 11.176 0.000
0.000 0.000 11.877
Li Hg Au
14 6 2
direct
0.050 0.950 0.627
0.050 0.950 0.873
0.088 0.912 0.110
0.088 0.912 0.390
0.184 0.816 0.750
0.226 0.774 0.095
0.226 0.774 0.405
0.774 0.226 0.595
0.774 0.226 0.905
0.816 0.184 0.250
0.912 0.088 0.610
0.912 0.088 0.890
0.950 0.050 0.127
0.950 0.050 0.373
0.334 0.666 0.750
0.350 0.650 0.056
0.350 0.650 0.444
0.650 0.350 0.556
0.650 0.350 0.944
0.666 0.334 0.250
0.477 0.523 0.750
0.523 0.477 0.250
```

ΔE_f	-318	meV per atom

=====

Below is Dy4TlRh after structural relaxation, with properties calculated at the GGA-PBE level.

```
Dy4TlRh
1.0
3.470 -3.470 0.000
3.470 3.470 0.000
-0.014 0.000 7.342
Dy Tl Rh
4 1 1
direct
0.000 0.499 0.224
0.000 0.501 0.776
0.499 0.000 0.224
0.501 0.000 0.776
0.000 0.000 0.500
0.500 0.500 0.000
```

ΔE_f	-303	meV per atom

=====

Below is YEr2Zn after structural relaxation, with properties calculated at the GGA-PBE level.

```
YEr2Zn
1.0
3.548 0.000 0.000
0.000 3.548 0.000
0.000 0.000 8.581
Y Er Zn
1 2 1
direct
0.000 0.000 0.000
0.500 0.500 0.297
0.500 0.500 0.703
0.000 0.000 0.500
```

ΔE_f	-166	meV per atom

=====

Below is HgHRh2 after structural relaxation, with properties calculated at the GGA-PBE level.

```
HgHRh2
1.0
2.897 0.000 0.000
0.000 2.953 0.000
-1.454 0.000 6.330
Hg H Rh
1 1 2
direct
0.000 0.000 0.000
0.355 0.500 0.734
0.299 0.000 0.597
0.663 0.500 0.323
```

VASP energy	-17.7	eV for the cell shown

=====

Below is Tb2PmDy3Er6 after structural relaxation, with properties calculated at the GGA-PBE level.

```
Tb2PmDy3Er6
1.0
3.063 -5.301 0.000
3.063 5.301 0.000
-2.032 0.000 11.517
Tb Pm Dy Er
2 1 3 6
direct
0.167 0.833 0.000
0.833 0.167 0.000
0.500 0.500 0.000
0.000 0.000 0.500
0.333 0.667 0.500
0.667 0.333 0.500
0.082 0.416 0.749
0.251 0.251 0.251
0.416 0.082 0.749
0.584 0.918 0.251
0.749 0.749 0.749
0.918 0.584 0.251
```

ΔE_f	18	meV per atom

=====

| no. | total magnetization (Bohr magnetons per cell) | density of states at the Fermi level (states/eV per cell) |
| --- | --- | --- |
| 1 | 0.00 | 2.7 |
| 2 | 0.00 | 8.3 |
| 3 | 7.45 | 10.1 |
| 4 | 0.00 | 31.2 |
| 5 | 0.00 | 4.6 |
| 6 | 0.00 | 2.0 |
| 7 | 0.00 | 4.7 |
| 8 | 0.18 | 1.7 |
| 9 | 0.00 | 17.5 |
| 10 | 0.00 | 13.0 |
| 11 | 0.00 | 10.7 |
| 12 | 5.05 | 4.4 |
| 13 | 0.00 | 11.0 |
| 14 | 0.00 | 14.2 |
| 15 | 4.11 | 2.2 |
| 16 | 0.00 | 5.9 |
| 17 | 0.00 | 1.5 |
| 18 | 0.00 | 8.7 |
| 19 | 0.00 | 6.5 |
| 20 | 0.00 | 4.1 |
| 21 | 1.03 | 3.5 |
| 22 | 0.00 | 15.7 |